1.
# ScFeAgBi | OQMD via LeMat-Bulk | PBE | relaxed
data_ScFeAgBi
_chemical_formula_sum 'Sc1 Fe1 Ag1 Bi1'
_symmetry_space_group_name_H-M 'P 1'
_symmetry_Int_Tables_number 1
_symmetry_space_group_name_Hall 'P 1'
_cell_length_a 4.800
_cell_length_b 4.800
_cell_length_c 4.800
_cell_angle_alpha 60.00
_cell_angle_beta 60.00
_cell_angle_gamma 60.00
loop_
_atom_site_label
_atom_site_fract_x
_atom_site_fract_y
_atom_site_fract_z
Fe1 0.750 0.750 0.750
Bi1 0.000 0.000 0.000
Sc1 0.500 0.500 0.500
Ag1 0.250 0.250 0.250
# energy relative to the lowest polymorph listed for this composition	1.8	kJ per mole of atoms
# space-group type	F-43m

***

2.
# ScFeAgBi | OQMD via LeMat-Bulk | PBE | relaxed
data_ScFeAgBi
_chemical_formula_sum 'Sc1 Fe1 Ag1 Bi1'
_symmetry_space_group_name_H-M 'P 1'
_symmetry_Int_Tables_number 1
_symmetry_space_group_name_Hall 'P 1'
_cell_length_a 4.714
_cell_length_b 4.714
_cell_length_c 4.714
_cell_angle_alpha 60.00
_cell_angle_beta 60.00
_cell_angle_gamma 60.00
loop_
_atom_site_label
_atom_site_fract_x
_atom_site_fract_y
_atom_site_fract_z
Fe1 0.750 0.750 0.750
Bi1 0.000 0.000 0.000
Ag1 0.500 0.500 0.500
Sc1 0.250 0.250 0.250
# energy relative to the lowest polymorph listed for this composition	0.0	kJ per mole of atoms
# space-group type	F-43m

***

3.
# TaFeAgBi | OQMD via LeMat-Bulk | PBE | relaxed
data_TaFeAgBi
_chemical_formula_sum 'Ta1 Fe1 Ag1 Bi1'
_symmetry_space_group_name_H-M 'P 1'
_symmetry_Int_Tables_number 1
_symmetry_space_group_name_Hall 'P 1'
_cell_length_a 4.659
_cell_length_b 4.659
_cell_length_c 4.659
_cell_angle_alpha 60.00
_cell_angle_beta 60.00
_cell_angle_gamma 60.00
loop_
_atom_site_label
_atom_site_fract_x
_atom_site_fract_y
_atom_site_fract_z
Ag1 0.500 0.500 0.500
Ta1 0.250 0.250 0.250
Bi1 0.000 0.000 0.000
Fe1 0.750 0.750 0.750
# energy relative to the lowest polymorph listed for this composition	3.9	kJ per mole of atoms
# space-group type	F-43m

***

4.
# TaFeAgBi | OQMD via LeMat-Bulk | PBE | relaxed
data_TaFeAgBi
_chemical_formula_sum 'Ta1 Fe1 Ag1 Bi1'
_symmetry_space_group_name_H-M 'P 1'
_symmetry_Int_Tables_number 1
_symmetry_space_group_name_Hall 'P 1'
_cell_length_a 4.680
_cell_length_b 4.680
_cell_length_c 4.680
_cell_angle_alpha 60.00
_cell_angle_beta 60.00
_cell_angle_gamma 60.00
loop_
_atom_site_label
_atom_site_fract_x
_atom_site_fract_y
_atom_site_fract_z
Bi1 0.000 0.000 0.000
Ta1 0.500 0.500 0.500
Fe1 0.750 0.750 0.750
Ag1 0.250 0.250 0.250
# energy relative to the lowest polymorph listed for this composition	0.0	kJ per mole of atoms
# space-group type	F-43m